(1)
Density functional theory data (PBE-GGA) for a geometry-optimized BaTcTe2 structure.

Values from the calculation:
Symmetry: P4/mmm (123)
Formation energy from raw total energies (kJ/mol of formula units): -35
Polymorph energy (0 for the lowest one) (meV/atom): 419.4

Unit cell a=3.545 b=3.545 c=8.262 alpha=90.00 beta=90.00 gamma=90.00
Site moments in Bohr magnetons follow the coordinates.
Sites, in units of the cell vectors:
Ba1 0.500 0.500 0.250  0.05
Tc1 0.500 0.500 0.750  0.83
Te1 0.000 0.000 0.941  -0.01
Te2 0.000 0.000 0.559  -0.01


(2)
Density functional theory data (PBE-GGA) for a geometry-optimized La2As2W structure.

Values from the calculation:
Symmetry: I4/mmm (139)
DFT formation energy (eV per formula unit): 0.57

Unit cell a=9.387 b=9.387 c=9.387 alpha=156.95 beta=156.95 gamma=32.83
Site moments in Bohr magnetons follow the coordinates.
Sites, in units of the cell vectors:
La1 0.604 0.604 0.000  0.06
La2 0.396 0.396 0.000  0.06
As1 0.250 0.750 0.500  0.01
As2 0.750 0.250 0.500  0.01
W1 0.000 0.000 0.000  1.15


(3)
Density functional theory data (PBE-GGA) for a geometry-optimized BaZnP2 structure.

Values from the calculation:
Symmetry: R-3m (166)
DFT formation energy (eV per formula unit): -1.24

Unit cell a=6.093 b=6.093 c=6.093 alpha=42.21 beta=42.21 gamma=42.21
Sites, in units of the cell vectors:
Ba1 0.750 0.750 0.750
P1 0.948 0.948 0.948
P2 0.552 0.552 0.552
Zn1 0.250 0.250 0.250


(4)
Density functional theory data (PBE-GGA) for a geometry-optimized CuP5 structure.

Values from the calculation:
Symmetry: P-62m (189)
DFT formation energy (eV per formula unit): 3.60
Polymorph energy (0 for the lowest one) (meV/atom): 282.3

Unit cell a=4.786 b=4.786 c=4.554 alpha=90.00 beta=90.00 gamma=120.00
Sites, in units of the cell vectors:
Cu1 0.000 0.000 0.500
P1 0.727 0.000 0.000
P2 0.273 0.273 0.000
P3 0.000 0.727 0.000
P4 0.667 0.333 0.500
P5 0.333 0.667 0.500


(5)
Density functional theory data (PBE-GGA) for a geometry-optimized ScAgPd5 structure.

Values from the calculation:
Symmetry: C2/c (15)
DFT formation energy (eV per formula unit): -1.99
Polymorph energy (0 for the lowest one) (meV/atom): 0.0

Unit cell a=5.284 b=5.284 c=10.197 alpha=83.98 beta=83.98 gamma=57.62
Sites, in units of the cell vectors:
Sc1 0.287 0.713 0.250
Sc2 0.713 0.287 0.750
Ag1 0.000 0.000 0.000
Ag2 0.000 0.000 0.500
Pd1 0.792 0.728 0.184
Pd2 0.324 0.367 0.550
Pd3 0.728 0.792 0.684
Pd4 0.778 0.222 0.250
Pd5 0.633 0.676 0.950
Pd6 0.367 0.324 0.050
Pd7 0.222 0.778 0.750
Pd8 0.272 0.208 0.316
Pd9 0.676 0.633 0.450
Pd10 0.208 0.272 0.816


(6)
Density functional theory data (PBE-GGA) for a geometry-optimized NpTiOs2 structure.

Values from the calculation:
Symmetry: P4/mmm (123)
DFT formation energy (eV per formula unit): -0.85

Unit cell a=3.090 b=3.090 c=7.019 alpha=90.00 beta=90.00 gamma=90.00
Site moments in Bohr magnetons follow the coordinates.
Sites, in units of the cell vectors:
Np1 0.500 0.500 0.500  3.07
Os1 0.000 0.000 0.781  -0.28
Os2 0.000 0.000 0.219  -0.28
Ti1 0.500 0.500 0.000  0.16


(7)
Density functional theory data (PBE-GGA) for a geometry-optimized CsOs2Rh structure.

Values from the calculation:
Symmetry: Fm-3m (225)
DFT formation energy (eV per formula unit): 8.74

Unit cell a=4.666 b=4.666 c=4.666 alpha=60.00 beta=60.00 gamma=60.00
Sites, in units of the cell vectors:
Cs1 0.500 0.500 0.500
Rh1 0.000 0.000 0.000
Os1 0.250 0.250 0.250
Os2 0.750 0.750 0.750


(8)
Density functional theory data (PBE-GGA) for a geometry-optimized CaTmAlSn structure.

Values from the calculation:
Symmetry: F-43m (216)
DFT formation energy (eV per formula unit): -1.51

Unit cell a=5.245 b=5.245 c=5.245 alpha=60.00 beta=60.00 gamma=60.00
Sites, in units of the cell vectors:
Ca1 0.500 0.500 0.500
Tm1 0.000 0.000 0.000
Sn1 0.250 0.250 0.250
Al1 0.750 0.750 0.750


(9)
Density functional theory data (PBE-GGA) for a geometry-optimized Zr2Zn4Cu3 structure.

Values from the calculation:
Symmetry: Fmmm (69)
DFT formation energy (eV per formula unit): -1.33

Unit cell a=4.970 b=4.972 c=6.992 alpha=79.77 beta=69.18 gamma=60.01
Sites, in units of the cell vectors:
Zr1 0.619 0.000 0.761
Zr2 0.381 0.000 0.239
Zn1 0.991 0.678 0.339
Zn2 0.670 0.322 0.339
Zn3 0.009 0.322 0.661
Zn4 0.330 0.678 0.661
Cu1 0.000 0.500 0.000
Cu2 0.000 0.000 0.000
Cu3 0.500 0.500 0.000


| no. | DFT total energy (eV/atom) | calculated volume (Å³/f.u.) |
| --- | --- | --- |
| 1 | -4.7343 | 103.8 |
| 2 | -6.3070 | 126.7 |
| 3 | -3.8137 | 92.4 |
| 4 | -4.5906 | 90.3 |
| 5 | -5.3046 | 119.3 |
| 6 | -11.0354 | 67.0 |
| 7 | -5.4822 | 71.8 |
| 8 | -3.9314 | 102.0 |
| 9 | -3.9790 | 139.9 |